# 1
GdAl2Bi | PBE | optimized geometry

a = 4.594 Å, b = 4.594 Å, c = 4.484 Å
α = 90.00°, β = 90.00°, γ = 90.00°
Space group P4/mmm (No. 123)
Unique sites:
Gd1 0.000 0.000 0.000 [1 per cell]
Al1 0.000 0.500 0.500 [2 per cell]
Bi1 0.500 0.500 0.000 [1 per cell]

Computed properties:
DFT total energy = -26.60 eV for the cell shown
Spin magnetization = 7.0 μB per formula unit

# 2
Al2GeBi2 | PBE | optimized geometry

a = 6.763 Å, b = 6.763 Å, c = 5.494 Å
α = 90.00°, β = 90.00°, γ = 90.00°
Space group P4/mbm (No. 127)
Unique sites:
Al1 0.138 0.362 0.000 [4 per cell]
Ge1 0.000 0.000 0.000 [2 per cell]
Bi1 0.235 0.735 0.500 [4 per cell]

Computed properties:
Energy above the most stable polymorph in this dataset = 0.0 meV per atom
Spin magnetization = 0.0 μB per formula unit

# 3
AlGe2Bi | PBE | optimized geometry

a = 6.100 Å, b = 6.100 Å, c = 12.394 Å
α = 90.00°, β = 90.00°, γ = 90.00°
Space group I-42d (No. 122)
Unique sites:
Al1 0.000 0.000 0.000 [4 per cell]
Ge1 0.211 0.250 0.125 [8 per cell]
Bi1 0.000 0.000 0.500 [4 per cell]

Computed properties:
Energy above the most stable polymorph in this dataset = 0.0 meV per atom
Spin magnetization = 0.0 μB per formula unit

# 4
Al2Ge2Bi | PBE | optimized geometry

a = 3.991 Å, b = 3.991 Å, c = 13.544 Å
α = 90.00°, β = 90.00°, γ = 90.00°
Space group I4/mmm (No. 139)
Unique sites:
Al1 0.000 0.500 0.250 [4 per cell]
Ge1 0.000 0.000 0.117 [4 per cell]
Bi1 0.000 0.000 0.500 [2 per cell]

Computed properties:
Energy above the most stable polymorph in this dataset = 0.0 meV per atom
Spin magnetization = 0.0 μB per formula unit

# 5
Al2GeBi | PBE | optimized geometry

a = 6.190 Å, b = 6.190 Å, c = 11.944 Å
α = 90.00°, β = 90.00°, γ = 90.00°
Space group I-42d (No. 122)
Unique sites:
Al1 0.208 0.250 0.125 [8 per cell]
Ge1 0.000 0.000 0.000 [4 per cell]
Bi1 0.000 0.000 0.500 [4 per cell]

Computed properties:
Energy above the most stable polymorph in this dataset = 21.1 meV per atom
Spin magnetization = 0.0 μB per formula unit

# 6
Al2GeBi | PBE | optimized geometry

a = 3.9540 Å, b = 3.9540 Å, c = 19.9887 Å
α = 90.00°, β = 90.00°, γ = 120.00°
Space group R-3m (No. 166, hexagonal axes)
Unique sites:
Al1 0.0000 0.0000 0.2316 [6 per cell]
Ge1 0.0000 0.0000 0.5000 [3 per cell]
Bi1 0.0000 0.0000 0.0000 [3 per cell]

Computed properties:
Energy above the most stable polymorph in this dataset = 0.0 meV per atom
Spin magnetization = 0.0 μB per formula unit

# 7
AlGe2Bi | PBE | optimized geometry

a = 4.0543 Å, b = 4.0543 Å, c = 19.3981 Å
α = 90.00°, β = 90.00°, γ = 120.00°
Space group R-3m (No. 166, hexagonal axes)
Unique sites:
Al1 0.0000 0.0000 0.0000 [3 per cell]
Ge1 0.0000 0.0000 0.2658 [6 per cell]
Bi1 0.0000 0.0000 0.5000 [3 per cell]

Computed properties:
Energy above the most stable polymorph in this dataset = 71.2 meV per atom
Spin magnetization = 0.0 μB per formula unit

# 8
Al2GeBi | PBE | optimized geometry

a = 7.058 Å, b = 7.058 Å, c = 7.058 Å
α = 90.00°, β = 90.00°, γ = 90.00°
Space group Fm-3m (No. 225)
Unique sites:
Al1 0.250 0.250 0.250 [8 per cell]
Ge1 0.000 0.000 0.000 [4 per cell]
Bi1 0.000 0.000 0.500 [4 per cell]

Computed properties:
Energy above the most stable polymorph in this dataset = 150.8 meV per atom
Spin magnetization = 0.0 μB per formula unit